Entry from Alexandria via LeMat-Bulk: a relaxed structure of HfAlP2 (PBE).

The formation energy from the elements is -446.5 meV per atom. As for the symmetry: No. 122. Its final energy is -0.2416 Ha/atom.

The structure in POSCAR format:
```
HfAlP2
1.0
-2.8986 2.8986 5.4221
2.8986 -2.8986 5.4221
2.8986 2.8986 -5.4221
Hf Al P
2 2 4
direct
0.0000 0.0000 0.0000
0.7500 0.2500 0.5000
0.2500 0.7500 0.5000
0.5000 0.5000 0.0000
0.1470 0.6250 0.0220
0.3750 0.3970 0.5220
0.6030 0.1250 0.9780
0.8750 0.8530 0.4780
```